No. 1
Entry from the Alexandria database: an optimized crystal structure of ScRe2AgPb (GGA-PBE).

E_form = 1.860 eV per atom
Spin magnetization = 3.5 μB per formula unit
Space group = No. 123

a = 4.812 Å, b = 5.113 Å, c = 4.812 Å
α = 90.00°, β = 90.00°, γ = 90.00°
Each line ends with the local moment (μB).
Fractional positions:
Pb 0.500 0.500 0.500  0.01
Ag 0.000 0.500 0.000  0.01
Re 0.500 0.000 0.000  1.66
Re 0.000 0.000 0.500  1.40
Sc 0.000 0.000 0.000  -0.03

No. 2
Entry from the Alexandria database: an optimized crystal structure of Ba2CdBr (GGA-PBE).

Energy above the lowest structure with this stoichiometry = 0.163 eV/atom
Uncorrected formation energy = -0.74 eV/atom
Spin magnetization = 0.7 μB per formula unit
Space group = No. 71

a = 6.306 Å, b = 6.306 Å, c = 6.306 Å
α = 130.74°, β = 114.62°, γ = 86.03°
Each line ends with the local moment (μB).
Fractional positions:
Br 0.750 0.250 0.500  0.02
Cd 0.250 0.750 0.500  0.05
Ba 0.519 0.519 0.000  0.07
Ba 0.981 0.981 0.000  0.07